Material: Rb2Dy2IrO6
Method: DFT, PBE-GGA
State: relaxed

Properties
As for the volume: 193.4 Å³/cell. As for the crystal system: monoclinic. The electronic total energy is -6.652 eV per atom. The value obtained for the raw formation energy is -23.42 eV per formula unit.

```
Rb2Dy2IrO6
1.0
2.914 -4.996 0.000
2.914 4.996 0.000
-1.782 0.000 6.642
Rb Dy Ir O
2 2 1 6
Cartesian
2.914 3.363 0.000
2.914 -3.363 0.000
2.023 1.646 3.321
2.023 -1.646 3.321
-0.891 0.000 3.321
0.003 1.555 4.413
0.890 0.000 2.210
0.003 -1.555 4.413
4.044 1.555 2.229
3.157 0.000 4.432
4.044 -1.555 2.229
```